#a
The following is a DFT calculation (PBE) of a geometry-optimized SrCaBr structure.

## Properties
size of the total moment = 0.180 μB/atom
density of states at the Fermi level = 3.6 states/eV/f.u.

Unit cell a=5.520 b=5.520 c=5.520 alpha=60.00 beta=60.00 gamma=60.00
Sites, in units of the cell vectors:
1 Sr 0.000 0.000 0.000
2 Ca 0.500 0.500 0.500
3 Br 0.250 0.250 0.250



#b
The following is a DFT calculation (PBE) of a geometry-optimized SrCaBr structure.

## Properties
size of the total moment = 0.202 μB/atom
density of states at the Fermi level = 2.7 states/eV/f.u.

Unit cell a=4.113 b=4.113 c=7.717 alpha=90.00 beta=90.00 gamma=120.00
Sites, in units of the cell vectors:
1 Sr 0.000 0.000 0.000
2 Ca 0.333 0.667 0.589
3 Br 0.667 0.333 0.306



#b is preferred energetically. Next in line: 41.2 kJ/mol of atoms higher.



#a
The following is a DFT calculation (PBE) of a geometry-optimized Sr2Ca2Br structure.

## Properties
size of the total moment = 0.000 μB/atom
density of states at the Fermi level = 7.3 states/eV/f.u.

Unit cell a=8.385 b=8.385 c=6.750 alpha=90.00 beta=90.00 gamma=90.00
Sites, in units of the cell vectors:
1 Sr 0.166 0.334 0.000
2 Sr 0.334 0.834 0.000
3 Sr 0.666 0.166 0.000
4 Sr 0.834 0.666 0.000
5 Ca 0.153 0.653 0.500
6 Ca 0.347 0.153 0.500
7 Ca 0.653 0.847 0.500
8 Ca 0.847 0.347 0.500
9 Br 0.000 0.000 0.000
10 Br 0.500 0.500 0.000



#b
The following is a DFT calculation (PBE) of a geometry-optimized Sr2Ca2Br structure.

## Properties
size of the total moment = 0.000 μB/atom
density of states at the Fermi level = 8.8 states/eV/f.u.

Unit cell a=8.201 b=8.201 c=6.823 alpha=90.00 beta=90.00 gamma=90.00
Sites, in units of the cell vectors:
1 Sr 0.162 0.338 0.000
2 Sr 0.338 0.838 0.000
3 Sr 0.662 0.162 0.000
4 Sr 0.838 0.662 0.000
5 Ca 0.161 0.661 0.500
6 Ca 0.339 0.161 0.500
7 Ca 0.661 0.839 0.500
8 Ca 0.839 0.339 0.500
9 Br 0.000 0.000 0.500
10 Br 0.500 0.500 0.500



#a is preferred energetically. Next in line: 1.9 kJ/mol of atoms higher.



#a
The following is a DFT calculation (PBE) of a geometry-optimized Ca2TaBr structure.

## Properties
size of the total moment = 0.434 μB/atom
density of states at the Fermi level = 4.0 states/eV/f.u.

Unit cell a=5.754 b=5.754 c=3.300 alpha=90.00 beta=90.00 gamma=90.00
Sites, in units of the cell vectors:
1 Ca 0.000 0.500 0.000
2 Ca 0.500 0.000 0.000
3 Ta 0.000 0.000 0.500
4 Br 0.500 0.500 0.500



#b
The following is a DFT calculation (PBE) of a geometry-optimized Ca2TaBr structure.

## Properties
size of the total moment = 0.000 μB/atom
density of states at the Fermi level = 2.1 states/eV/f.u.

Unit cell a=9.820 b=9.820 c=9.820 alpha=20.59 beta=20.59 gamma=20.59
Sites, in units of the cell vectors:
1 Ca 0.247 0.247 0.247
2 Ca 0.753 0.753 0.753
3 Ta 0.000 0.000 0.000
4 Br 0.500 0.500 0.500



#c
The following is a DFT calculation (PBE) of a geometry-optimized Ca2TaBr structure.

## Properties
size of the total moment = 0.000 μB/atom
density of states at the Fermi level = 4.8 states/eV/f.u.

Unit cell a=6.594 b=6.594 c=6.594 alpha=151.22 beta=129.49 gamma=59.18
Sites, in units of the cell vectors:
1 Ca 0.000 0.000 0.000
2 Ca 0.694 0.194 0.500
3 Ta 0.256 0.756 0.500
4 Br 0.452 0.452 0.000



#b is preferred energetically. Next in line: 32.4 kJ/mol of atoms higher.



#a
The following is a DFT calculation (PBE) of a geometry-optimized Ca2TaBr structure.

## Properties
size of the total moment = 0.955 μB/atom
density of states at the Fermi level = 3.2 states/eV/f.u.

Unit cell a=6.852 b=6.852 c=6.852 alpha=105.50 beta=105.50 gamma=117.75
Sites, in units of the cell vectors:
1 Ca 0.093 0.125 0.468
2 Ca 0.375 0.907 0.032
3 Ca 0.657 0.625 0.532
4 Ca 0.875 0.343 0.968
5 Ta 0.250 0.750 0.500
6 Ta 0.500 0.500 0.000
7 Br 0.000 0.000 0.000
8 Br 0.750 0.250 0.500



#b
The following is a DFT calculation (PBE) of a geometry-optimized Ca2TaBr structure.

## Properties
size of the total moment = 0.915 μB/atom
density of states at the Fermi level = 2.7 states/eV/f.u.

Unit cell a=6.655 b=6.655 c=6.655 alpha=140.97 beta=140.97 gamma=56.38
Sites, in units of the cell vectors:
1 Ca 0.000 0.000 0.000
2 Ca 0.750 0.250 0.500
3 Ta 0.250 0.750 0.500
4 Br 0.500 0.500 0.000



#b is preferred energetically. Next in line: 5.9 kJ/mol of atoms higher.



#a
The following is a DFT calculation (PBE) of a geometry-optimized CaTa2Br structure.

## Properties
size of the total moment = 0.000 μB/atom
density of states at the Fermi level = 3.7 states/eV/f.u.

Unit cell a=3.427 b=8.090 c=8.090 alpha=25.17 beta=90.00 gamma=90.00
Sites, in units of the cell vectors:
1 Ca 0.000 0.000 0.000
2 Ta 0.000 0.781 0.781
3 Ta 0.500 0.357 0.357
4 Br 0.500 0.622 0.622



#b
The following is a DFT calculation (PBE) of a geometry-optimized CaTa2Br structure.

## Properties
size of the total moment = 0.000 μB/atom
density of states at the Fermi level = 4.1 states/eV/f.u.

Unit cell a=6.593 b=6.593 c=6.593 alpha=151.69 beta=139.24 gamma=50.37
Sites, in units of the cell vectors:
1 Ca 0.000 0.000 0.000
2 Ta 0.270 0.770 0.500
3 Ta 0.730 0.230 0.500
4 Br 0.500 0.500 0.000



#a is preferred energetically. Next in line: 32.6 kJ/mol of atoms higher.



#a
The following is a DFT calculation (PBE) of a geometry-optimized CaTa2Br structure.

## Properties
size of the total moment = 0.000 μB/atom
density of states at the Fermi level = 2.9 states/eV/f.u.

Unit cell a=3.139 b=5.438 c=5.447 alpha=90.00 beta=90.00 gamma=90.00
Sites, in units of the cell vectors:
1 Ca 0.000 0.000 0.000
2 Ta 0.500 0.500 0.232
3 Ta 0.500 0.500 0.768
4 Br 0.000 0.000 0.500



#b
The following is a DFT calculation (PBE) of a geometry-optimized CaTa2Br structure.

## Properties
size of the total moment = 0.000 μB/atom
density of states at the Fermi level = 4.7 states/eV/f.u.

Unit cell a=3.077 b=3.077 c=9.005 alpha=90.00 beta=90.00 gamma=90.00
Sites, in units of the cell vectors:
1 Ca 0.000 0.000 0.000
2 Ta 0.500 0.500 0.296
3 Ta 0.500 0.500 0.704
4 Br 0.000 0.000 0.500



#a is preferred energetically. Next in line: 8.2 kJ/mol of atoms higher.